This record from Alexandria via LeMat-Bulk describes VCoAs2O8 after structural relaxation. The functional is GGA+U.

Raw total energy ... -0.2302 hartree per atom
Fermi-level density of states ... 6.924 states/eV/f.u.
Total magnetic moment ... 8.82 μB/cell

```
data_VCoAs2O8
_chemical_formula_sum 'V2 Co2 As4 O16'
_symmetry_space_group_name_H-M 'I -4 m 2'
_symmetry_Int_Tables_number 119
_symmetry_space_group_name_Hall 'I -4 -2'
_cell_length_a 6.661
_cell_length_b 6.661
_cell_length_c 6.093
_cell_angle_alpha 90.00
_cell_angle_beta 90.00
_cell_angle_gamma 90.00
loop_
_atom_site_label
_atom_site_type_symbol
_atom_site_fract_x
_atom_site_fract_y
_atom_site_fract_z
_atom_site_occupancy
V1 V 0.000 0.000 0.000 1
Co1 Co 0.000 0.500 0.250 1
As1 As 0.000 0.000 0.500 1
As2 As 0.000 0.500 0.750 1
O1 O 0.000 0.183 0.300 1
O2 O 0.000 0.308 0.938 1
```